Entry from Alexandria: crystalline Co2AgClO at its relaxed geometry (PBE with a Hubbard U).

Lattice parameters (Å, degrees): 3.7595 7.0231 3.7595 90.00 90.00 90.00
Last column: nearest neighbours and their distance in Å.
Positions (direct):
Co 0.0000 0.0000 0.5000  2 O 1.88
Co 0.5000 0.0000 0.0000  2 O 1.88
O 0.0000 0.0000 0.0000  4 Co 1.88
Ag 0.0000 0.5000 0.0000  4 Cl 2.66
Cl 0.5000 0.5000 0.5000  4 Ag 2.66

Computed properties:
- E_tot (eV per atom) = -4.022
- density of states at the Fermi level (states/eV per cell) = 0.99